Entry 1:
DFT (PBE) results for a relaxed CeDy2Tl crystal.

Cell lengths 4.680, 4.923, 4.923 Å; angles 90.00, 90.00, 90.00 degrees
Fractional positions:
Tl 0.500 0.000 0.000
Ce 0.500 0.500 0.500
Dy 0.000 0.000 0.500
Dy 0.000 0.500 0.000

Output
Energy of formation from the pure elements = -0.136 eV per atom
Excess energy over the best structure of this formula in the dataset = 3 meV per atom

Entry 2:
DFT (PBE) results for a relaxed LaYBr2 crystal.

Cell lengths 3.748, 3.748, 9.916 Å; angles 90.00, 90.00, 122.11 degrees
Fractional positions:
Y 0.500 0.500 0.750
Br 0.000 0.000 0.991
Br 0.000 0.000 0.509
La 0.500 0.500 0.250

Output
Excess energy over the best structure of this formula in the dataset = 187 meV per atom
E_form (uncorrected) = -1.03 eV per atom

Entry 3:
DFT (PBE) results for a relaxed RbPaTi2O8 crystal.

Cell lengths 5.998, 5.998, 7.999 Å; angles 90.00, 90.00, 120.00 degrees
Fractional positions:
Rb 0.000 0.000 0.500
Pa 0.000 0.000 0.000
Ti 0.333 0.667 0.764
Ti 0.667 0.333 0.236
O 0.165 0.331 0.834
O 0.165 0.835 0.834
O 0.669 0.835 0.834
O 0.331 0.165 0.166
O 0.667 0.333 0.462
O 0.333 0.667 0.538
O 0.835 0.669 0.166
O 0.835 0.165 0.166

Output
E_form (uncorrected) = -2.57 eV per atom

Entry 4:
DFT (PBE) results for a relaxed Pm2MgSb4 crystal.

Cell lengths 4.296, 4.296, 11.229 Å; angles 90.00, 90.00, 90.00 degrees
Fractional positions:
Pm 0.500 0.000 0.728
Pm 0.000 0.500 0.272
Mg 0.500 0.500 0.000
Sb 0.500 0.000 0.171
Sb 0.000 0.500 0.829
Sb 0.500 0.500 0.500
Sb 0.000 0.000 0.500

Output
E_form (uncorrected) = -0.75 eV per atom

Entry 5:
DFT (PBE) results for a relaxed BePPb2 crystal.

Cell lengths 6.039, 6.039, 6.039 Å; angles 139.56, 139.56, 58.52 degrees
Fractional positions:
Pb 0.000 0.000 0.000
Pb 0.250 0.750 0.500
P 0.750 0.250 0.500
Be 0.500 0.500 0.000

Output
Energy of formation from the pure elements = 0.651 eV per atom
Excess energy over the best structure of this formula in the dataset = 663 meV per atom

Entry 6:
DFT (PBE) results for a relaxed UTl3Cl6 crystal.

Cell lengths 7.600, 8.318, 11.030 Å; angles 90.00, 86.81, 90.00 degrees
Fractional positions:
U 0.500 0.500 0.500
U 0.000 0.000 0.000
Tl 0.525 0.931 0.768
Tl 0.500 0.500 0.000
Tl 0.475 0.069 0.232
Tl 0.025 0.569 0.268
Tl 0.000 0.000 0.500
Tl 0.975 0.431 0.732
Cl 0.698 0.167 0.956
Cl 0.662 0.227 0.583
Cl 0.636 0.432 0.269
Cl 0.364 0.568 0.731
Cl 0.338 0.773 0.417
Cl 0.302 0.833 0.044
Cl 0.198 0.333 0.456
Cl 0.162 0.273 0.083
Cl 0.136 0.068 0.769
Cl 0.864 0.932 0.231
Cl 0.838 0.727 0.917
Cl 0.802 0.667 0.544

Output
E_form (uncorrected) = -1.30 eV per atom

Entry 7:
DFT (PBE) results for a relaxed TcNi2Ag crystal.

Cell lengths 2.648, 2.648, 7.683 Å; angles 90.00, 90.00, 90.00 degrees
Fractional positions:
Ag 0.500 0.500 0.765
Ni 0.000 0.000 0.027
Ni 0.500 0.500 0.240
Tc 0.000 0.000 0.468

Output
Energy of formation from the pure elements = 0.236 eV per atom
Excess energy over the best structure of this formula in the dataset = 127 meV per atom

Entry 8:
DFT (PBE) results for a relaxed CaCo2P crystal.

Cell lengths 4.874, 4.874, 4.874 Å; angles 140.14, 117.94, 76.35 degrees
Fractional positions:
Ca 0.750 0.250 0.500
Co 0.074 0.074 0.000
Co 0.426 0.426 0.000
P 0.250 0.750 0.500

Output
Energy of formation from the pure elements = -0.078 eV per atom

Entry 9:
DFT (PBE) results for a relaxed Re2SbIr crystal.

Cell lengths 4.856, 4.856, 4.856 Å; angles 130.86, 130.86, 72.04 degrees
Fractional positions:
Ir 0.750 0.250 0.500
Re 0.000 0.000 0.000
Re 0.250 0.750 0.500
Sb 0.500 0.500 0.000

Output
E_form (uncorrected) = 0.43 eV per atom

Entry 10:
DFT (PBE) results for a relaxed Nd4Ho2ErTh crystal.

Cell lengths 6.254, 6.247, 9.543 Å; angles 49.11, 77.45, 70.50 degrees
Fractional positions:
Nd 0.000 0.745 0.755
Nd 0.000 0.255 0.245
Nd 0.500 0.755 0.245
Nd 0.500 0.245 0.755
Ho 0.000 0.000 0.000
Ho 0.500 0.000 0.500
Er 0.000 0.500 0.500
Th 0.500 0.500 0.000

Output
Energy of formation from the pure elements = 0.036 eV per atom

Entry 11:
DFT (PBE) results for a relaxed BaFe2Ir crystal.

Cell lengths 4.251, 4.251, 6.208 Å; angles 70.00, 70.00, 60.01 degrees
Fractional positions:
Ba 0.250 0.250 0.250
Fe 0.064 0.064 0.807
Fe 0.436 0.436 0.693
Ir 0.750 0.750 0.750

Output
Energy of formation from the pure elements = 0.132 eV per atom

Entry 12:
DFT (PBE) results for a relaxed Ba2Pd3Pb4Au crystal.

Cell lengths 4.961, 4.961, 11.134 Å; angles 90.00, 90.00, 90.00 degrees
Fractional positions:
Ba 0.500 0.000 0.256
Ba 0.000 0.500 0.744
Pd 0.000 0.000 0.500
Pd 0.500 0.000 0.874
Pd 0.000 0.500 0.126
Pb 0.500 0.500 0.000
Pb 0.000 0.000 0.000
Pb 0.500 0.000 0.625
Pb 0.000 0.500 0.375
Au 0.500 0.500 0.500

Output
Energy of formation from the pure elements = -0.487 eV per atom

Entry 13:
DFT (PBE) results for a relaxed DyPdAu crystal.

Cell lengths 4.616, 4.616, 4.616 Å; angles 60.00, 60.00, 60.00 degrees
Fractional positions:
Au 0.000 0.000 0.000
Pd 0.250 0.250 0.250
Dy 0.500 0.500 0.500

Output
Energy of formation from the pure elements = -0.711 eV per atom
Excess energy over the best structure of this formula in the dataset = 144 meV per atom

Entry 14:
DFT (PBE) results for a relaxed Ce7SeBr12 crystal.

Cell lengths 9.431, 9.431, 9.431 Å; angles 107.93, 107.93, 107.93 degrees
Fractional positions:
Ce 0.961 0.670 0.884
Ce 0.330 0.116 0.039
Ce 0.116 0.039 0.330
Ce 0.500 0.500 0.500
Ce 0.884 0.961 0.670
Ce 0.670 0.884 0.961
Ce 0.039 0.330 0.116
Se 0.000 0.000 0.000
Br 0.924 0.312 0.773
Br 0.688 0.227 0.076
Br 0.474 0.155 0.389
Br 0.845 0.611 0.526
Br 0.227 0.076 0.688
Br 0.611 0.526 0.845
Br 0.389 0.474 0.155
Br 0.773 0.924 0.312
Br 0.155 0.389 0.474
Br 0.526 0.845 0.611
Br 0.312 0.773 0.924
Br 0.076 0.688 0.227

Output
E_form (uncorrected) = -1.65 eV per atom

Entry 15:
DFT (PBE) results for a relaxed TmPa3N6 crystal.

Cell lengths 3.555, 9.183, 9.340 Å; angles 104.88, 90.00, 90.00 degrees
Fractional positions:
Tm 0.750 0.073 0.668
Tm 0.250 0.927 0.332
Pa 0.750 0.464 0.821
Pa 0.250 0.536 0.179
Pa 0.750 0.689 0.526
Pa 0.250 0.311 0.474
Pa 0.750 0.170 0.082
Pa 0.250 0.830 0.918
N 0.750 0.444 0.578
N 0.250 0.556 0.422
N 0.750 0.924 0.078
N 0.250 0.076 0.922
N 0.750 0.409 0.050
N 0.250 0.591 0.950
N 0.750 0.713 0.286
N 0.250 0.287 0.714
N 0.750 0.111 0.431
N 0.250 0.889 0.569
N 0.750 0.723 0.780
N 0.250 0.277 0.220

Output
Excess energy over the best structure of this formula in the dataset = 0 meV per atom
E_form (uncorrected) = -1.65 eV per atom

Entry 16:
DFT (PBE) results for a relaxed BaCuI2N crystal.

Cell lengths 5.997, 5.997, 3.899 Å; angles 90.00, 90.00, 90.00 degrees
Fractional positions:
I 0.000 0.500 0.000
I 0.500 0.000 0.000
Ba 0.500 0.500 0.500
Cu 0.000 0.000 0.000
N 0.000 0.000 0.500

Output
Excess energy over the best structure of this formula in the dataset = 0 meV per atom
E_form (uncorrected) = -0.17 eV per atom

Entry 17:
DFT (PBE) results for a relaxed CeSm3Th3S8 crystal.

Cell lengths 8.012, 8.012, 8.039 Å; angles 119.89, 90.00, 120.00 degrees
Fractional positions:
Ce 0.000 0.000 0.500
Sm 0.500 0.000 0.500
Sm 0.500 0.500 0.500
Sm 0.000 0.500 0.500
Th 0.000 0.000 0.000
Th 0.000 0.500 0.000
Th 0.500 0.500 0.000
S 0.252 0.503 0.255
S 0.748 0.497 0.745
S 0.746 0.493 0.248
S 0.254 0.507 0.752
S 0.746 0.002 0.248
S 0.254 0.998 0.752
S 0.255 0.002 0.248
S 0.745 0.998 0.752

Output
E_form (uncorrected) = -1.95 eV per atom

Entry 18:
DFT (PBE) results for a relaxed YScSe3 crystal.

Cell lengths 20.211, 8.191, 8.191 Å; angles 150.06, 150.70, 29.30 degrees
Fractional positions:
Y 0.645 0.985 0.015
Y 0.355 0.015 0.985
Sc 0.867 0.978 0.022
Sc 0.133 0.022 0.978
Se 0.240 0.745 0.255
Se 0.760 0.255 0.745
Se 0.042 0.296 0.704
Se 0.958 0.704 0.296
Se 0.409 0.773 0.227
Se 0.591 0.227 0.773

Output
E_form (uncorrected) = -1.64 eV per atom

Entry 19:
DFT (PBE) results for a relaxed Ce2MgC crystal.

Cell lengths 3.509, 3.509, 8.988 Å; angles 90.00, 90.00, 120.02 degrees
Fractional positions:
Ce 0.467 0.533 0.335
Ce 0.467 0.533 0.665
Mg 0.799 0.201 0.000
C 0.133 0.867 0.500

Output
Energy of formation from the pure elements = 0.096 eV per atom

Entry 20:
DFT (PBE) results for a relaxed BeNi2Sn crystal.

Cell lengths 3.738, 3.738, 8.598 Å; angles 77.44, 77.44, 90.00 degrees
Fractional positions:
Ni 0.576 0.125 0.250
Ni 0.174 0.625 0.250
Ni 0.375 0.424 0.750
Ni 0.875 0.826 0.750
Sn 0.000 0.000 0.000
Sn 0.750 0.250 0.500
Be 0.500 0.500 0.000
Be 0.250 0.750 0.500

Output
Energy of formation from the pure elements = 0.250 eV per atom

Entry 21:
DFT (PBE) results for a relaxed Be6FeNi crystal.

Cell lengths 4.124, 4.124, 4.124 Å; angles 90.00, 90.00, 90.00 degrees
Fractional positions:
Be 0.500 0.747 0.000
Be 0.747 0.000 0.500
Be 0.000 0.500 0.253
Be 0.253 0.000 0.500
Be 0.500 0.253 0.000
Be 0.000 0.500 0.747
Fe 0.500 0.500 0.500
Ni 0.000 0.000 0.000

Output
Energy of formation from the pure elements = -0.010 eV per atom
Excess energy over the best structure of this formula in the dataset = 212 meV per atom

Entry 22:
DFT (PBE) results for a relaxed Pm3SmC crystal.

Cell lengths 5.208, 5.208, 5.208 Å; angles 90.00, 90.00, 90.00 degrees
Fractional positions:
C 0.000 0.000 0.000
Sm 0.500 0.500 0.500
Pm 0.000 0.500 0.000
Pm 0.000 0.000 0.500
Pm 0.500 0.000 0.000

Output
Energy of formation from the pure elements = 0.079 eV per atom

Entry 23:
DFT (PBE) results for a relaxed BaEu crystal.

Cell lengths 4.743, 4.743, 4.743 Å; angles 90.00, 90.00, 90.00 degrees
Fractional positions:
Eu 0.000 0.000 0.000
Ba 0.500 0.500 0.500

Output
Energy of formation from the pure elements = 0.063 eV per atom
Excess energy over the best structure of this formula in the dataset = 58 meV per atom

Entry 24:
DFT (PBE) results for a relaxed TbCeCdRu crystal.

Cell lengths 5.090, 5.090, 5.090 Å; angles 60.00, 60.00, 60.00 degrees
Fractional positions:
Ru 0.750 0.750 0.750
Tb 0.000 0.000 0.000
Ce 0.500 0.500 0.500
Cd 0.250 0.250 0.250

Output
Energy of formation from the pure elements = -0.194 eV per atom
Excess energy over the best structure of this formula in the dataset = 139 meV per atom